VASP calculation (PBE) on a relaxed Ba2HfNb3O12 crystal.

## Properties
Volume   17.06 A^3/atom
Magnetization   1.058 μB/f.u.
E   -8.429 eV/atom
Fermi-level density of states   13.1 states/eV/cell
Formation energy (no corrections)   -2.678 eV per atom

Unit cell a=7.555 b=7.555 c=7.555 alpha=60.30 beta=60.30 gamma=60.30
Element x y z (fractional)
Ba: 0.182 0.182 0.182
Ba: 0.818 0.818 0.818
Hf: 0.500 0.500 0.500
Nb: 0.000 0.500 0.500
Nb: 0.500 0.000 0.500
Nb: 0.500 0.500 0.000
O: 0.172 0.573 0.573
O: 0.189 0.189 0.553
O: 0.189 0.553 0.189
O: 0.427 0.427 0.828
O: 0.427 0.828 0.427
O: 0.447 0.811 0.811
O: 0.553 0.189 0.189
O: 0.573 0.172 0.573
O: 0.573 0.573 0.172
O: 0.811 0.447 0.811
O: 0.811 0.811 0.447
O: 0.828 0.427 0.427



VASP calculation (PBE) on a relaxed Ac2As2H4Ir crystal.

## Properties
Volume   16.85 A^3/atom
Magnetization   0.000 μB/f.u.
E   -5.001 eV/atom
Fermi-level density of states   4.5 states/eV/cell

Unit cell a=5.944 b=5.944 c=5.944 alpha=118.52 beta=118.52 gamma=92.58
Element x y z (fractional)
Ac: 0.250 0.750 0.500
Ac: 0.750 0.250 0.500
As: 0.176 0.176 0.000
As: 0.824 0.824 0.000
H: 0.302 0.302 0.604
H: 0.302 0.698 0.000
H: 0.698 0.302 0.000
H: 0.698 0.698 0.396
Ir: 0.500 0.500 0.000